# NdAlRh, PBEsol geometry, DFT SCAN
# **Energy of formation from the pure elements**: -2.85 eV/f.u.
data_NdAlRh
_chemical_formula_sum 'Nd4 Al4 Rh4'
_space_group_name_H-M_alt 'P n m a'
_space_group_IT_number 62
_space_group_name_Hall '-P 2ac 2n'
_cell_length_a 6.9532
_cell_length_b 4.2263
_cell_length_c 8.0345
_cell_angle_alpha 90.00
_cell_angle_beta 90.00
_cell_angle_gamma 90.00
loop_
_atom_site_label
_atom_site_type_symbol
_atom_site_fract_x
_atom_site_fract_y
_atom_site_fract_z
Nd1 Nd 0.0374 0.2500 0.1807
Al1 Al 0.1338 0.2500 0.5608
Rh1 Rh 0.2311 0.7500 0.3818

# NaCuH3, PBEsol geometry, DFT SCAN
# **ΔE to the lowest computed polymorph**: 0.000 eV per atom
data_NaCuH3
_chemical_formula_sum 'Na2 Cu2 H6'
_space_group_name_H-M_alt 'P -1'
_space_group_IT_number 2
_space_group_name_Hall '-P 1'
_cell_length_a 4.5699
_cell_length_b 5.3329
_cell_length_c 5.3672
_cell_angle_alpha 81.16
_cell_angle_beta 83.69
_cell_angle_gamma 83.44
loop_
_atom_site_label
_atom_site_type_symbol
_atom_site_fract_x
_atom_site_fract_y
_atom_site_fract_z
Na1 Na 0.0000 0.0000 0.0000
Na2 Na 0.5000 0.5000 0.5000
Cu1 Cu 0.2502 0.0125 0.4864
H1 H 0.0248 0.4778 0.0671
H2 H 0.0416 0.7930 0.4175
H3 H 0.4778 0.8772 0.7174

Number 1: uncorrected energy -351.84 eV per cell. Number 2: uncorrected energy -60.46 eV per cell.